Material: Ba4TlS5
Method: DFT, PBE-GGA
State: relaxed

Unit cell a=4.5427 b=6.3495 c=11.8990 alpha=105.47 beta=101.00 gamma=90.00
Element x y z (fractional)
S 0.7995 0.2995 0.5991
S 0.4031 0.9031 0.8062
S 0.2005 0.7005 0.4009
S 0.0000 0.5000 0.0000
S 0.5969 0.0969 0.1938
Tl 0.0000 0.0000 0.0000
Ba 0.4020 0.4020 0.8040
Ba 0.5980 0.5980 0.1960
Ba 0.1979 0.1979 0.3957
Ba 0.8021 0.8021 0.6043

Calculated values
Fermi-level density of states	4.32	states/eV per cell
formation energy from raw total energies	-1656.3	meV/atom